Entry 1:
# DyNiSb2 | the Alexandria database | PBE-GGA | relaxed
# - formation energy from raw total energies (eV/atom) = -0.040
# - V (A^3/atom) = 25.249
# - total DFT energy (no corrections) (eV per atom) = -4.697
data_DyNiSb2
_chemical_formula_sum 'Dy3 Ni3 Sb6'
_cell_length_a 3.5089
_cell_length_b 3.5089
_cell_length_c 28.4163
_cell_angle_alpha 90.00
_cell_angle_beta 90.00
_cell_angle_gamma 120.00
_symmetry_space_group_name_H-M 'R -3 m'
_symmetry_Int_Tables_number 166
_symmetry_space_group_name_Hall '-R 3 2"'
loop_
_atom_site_label
_atom_site_type_symbol
_atom_site_fract_x
_atom_site_fract_y
_atom_site_fract_z
_atom_site_occupancy
Dy1 Dy 0.0000 0.0000 0.0000 1
Ni1 Ni 0.0000 0.0000 0.5000 1
Sb1 Sb 0.0000 0.0000 0.1091 1

---

Entry 2:
# RbCo2SiAu | the Alexandria database | PBE-GGA | relaxed
# - formation energy from raw total energies (eV/atom) = 2.384
# - V (A^3/atom) = 24.079
# - total DFT energy (no corrections) (eV per atom) = -2.392
data_RbCo2SiAu
_chemical_formula_sum 'Rb1 Co2 Si1 Au1'
_cell_length_a 4.619
_cell_length_b 4.619
_cell_length_c 5.643
_cell_angle_alpha 90.00
_cell_angle_beta 90.00
_cell_angle_gamma 90.00
_symmetry_space_group_name_H-M 'P 4/m m m'
_symmetry_Int_Tables_number 123
_symmetry_space_group_name_Hall '-P 4 2'
loop_
_atom_site_label
_atom_site_type_symbol
_atom_site_fract_x
_atom_site_fract_y
_atom_site_fract_z
_atom_site_occupancy
Rb1 Rb 0.000 0.000 0.000 1
Co1 Co 0.000 0.500 0.000 1
Si1 Si 0.500 0.500 0.500 1
Au1 Au 0.000 0.000 0.500 1

---

Entry 3:
# Ac3In2Pb3 | the Alexandria database | PBE-GGA | relaxed
# - V (A^3/atom) = 33.988
# - total DFT energy (no corrections) (eV per atom) = -4.064
# - relative energy among the computed polymorphs (meV per atom) = 0
data_Ac3In2Pb3
_chemical_formula_sum 'Ac12 In8 Pb12'
_cell_length_a 4.916
_cell_length_b 12.753
_cell_length_c 17.350
_cell_angle_alpha 90.00
_cell_angle_beta 90.00
_cell_angle_gamma 90.00
_symmetry_space_group_name_H-M 'C m c m'
_symmetry_Int_Tables_number 63
_symmetry_space_group_name_Hall '-C 2c 2'
loop_
_atom_site_label
_atom_site_type_symbol
_atom_site_fract_x
_atom_site_fract_y
_atom_site_fract_z
_atom_site_occupancy
Ac1 Ac 0.000 0.061 0.113 1
Ac2 Ac 0.000 0.335 0.250 1
In1 In 0.000 0.224 0.614 1
Pb1 Pb 0.000 0.377 0.035 1
Pb2 Pb 0.000 0.395 0.750 1

---

Entry 4:
# Tb8Te4PdSe3 | the Alexandria database | PBE-GGA | relaxed
# - formation energy from raw total energies (eV/atom) = -1.446
# - V (A^3/atom) = 27.215
# - total DFT energy (no corrections) (eV per atom) = -5.525
data_Tb8Te4PdSe3
_chemical_formula_sum 'Tb24 Te12 Pd3 Se9'
_cell_length_a 8.4492
_cell_length_b 8.4492
_cell_length_c 21.1300
_cell_angle_alpha 90.00
_cell_angle_beta 90.00
_cell_angle_gamma 120.00
_symmetry_space_group_name_H-M 'R -3 m'
_symmetry_Int_Tables_number 166
_symmetry_space_group_name_Hall '-R 3 2"'
loop_
_atom_site_label
_atom_site_type_symbol
_atom_site_fract_x
_atom_site_fract_y
_atom_site_fract_z
_atom_site_occupancy
Tb1 Tb 0.0000 0.0000 0.2397 1
Tb2 Tb 0.0098 0.5049 0.2398 1
Te1 Te 0.0000 0.0000 0.0000 1
Te2 Te 0.0000 0.5000 0.0000 1
Pd1 Pd 0.0000 0.0000 0.5000 1
Se1 Se 0.0000 0.5000 0.5000 1

---

Q: Among the records above, which one has the highest V?
A: Ac3In2Pb3

---

Copy entry 2 word for word.
# RbCo2SiAu | the Alexandria database | PBE-GGA | relaxed
# - formation energy from raw total energies (eV/atom) = 2.384
# - V (A^3/atom) = 24.079
# - total DFT energy (no corrections) (eV per atom) = -2.392
data_RbCo2SiAu
_chemical_formula_sum 'Rb1 Co2 Si1 Au1'
_cell_length_a 4.619
_cell_length_b 4.619
_cell_length_c 5.643
_cell_angle_alpha 90.00
_cell_angle_beta 90.00
_cell_angle_gamma 90.00
_symmetry_space_group_name_H-M 'P 4/m m m'
_symmetry_Int_Tables_number 123
_symmetry_space_group_name_Hall '-P 4 2'
loop_
_atom_site_label
_atom_site_type_symbol
_atom_site_fract_x
_atom_site_fract_y
_atom_site_fract_z
_atom_site_occupancy
Rb1 Rb 0.000 0.000 0.000 1
Co1 Co 0.000 0.500 0.000 1
Si1 Si 0.500 0.500 0.500 1
Au1 Au 0.000 0.000 0.500 1

---

Q: V of number 1 (DyNiSb2)?
A: 25.249 A^3/atom

---

Q: What is the formula in the first record?
A: DyNiSb2